Sm3GaBi2 (PBE, optimized geometry); ΔE_f = -4.028 eV/f.u.; DFT total energy = -4.829 eV per atom; V = 189.4 Å³/f.u.; mass density = 8.2 g/cm³; Fermi-level density of states = 10.241 states/eV per cell; M_tot = 0.0 μB/cell
1.0
4.468 0.000 0.000
0.000 6.324 0.000
0.000 0.000 13.404
Sm Ga Bi
6 2 4
direct
0.000 0.000 0.000 Sm
0.000 0.000 0.338 Sm
0.000 0.000 0.662 Sm
0.500 0.500 0.162 Sm
0.500 0.500 0.500 Sm
0.500 0.500 0.838 Sm
0.000 0.500 0.000 Ga
0.500 0.000 0.500 Ga
0.000 0.500 0.330 Bi
0.000 0.500 0.670 Bi
0.500 0.000 0.170 Bi
0.500 0.000 0.830 Bi